No. 1
## SrCd2InSn (PBE-GGA)

Data for a geometry-optimized SrCd2InSn structure.

The space group is P4/mmm (No. 123) and the conventional cell measures 5.593, 5.593 and 5.754 Å, with angles of 90.00, 90.00 and 90.00 degrees. The inequivalent atoms are Sr at (0.000, 0.000, 0.000), Cd at (0.000, 0.500, 0.500), In at (0.500, 0.500, 0.000) and Sn at (0.500, 0.500, 0.500).

The size of the total moment comes out at 0.00 μB per formula unit. As for the energy of formation: 125 meV per atom. For the total energy, the calculation gives -1.93 eV per atom.

---

No. 2
## Sr2Cd6InSn (PBE-GGA)

Data for a geometry-optimized Sr2Cd6InSn structure.

The space group is R-3m (No. 166, hexagonal axes) and the conventional cell measures 6.4173, 6.4173 and 47.7379 Å, with angles of 90.00, 90.00 and 120.00 degrees. The inequivalent atoms are Sr at (0.0000, 0.0000, 0.1456), Sr at (0.0000, 0.0000, 0.2921), Cd at (0.0225, 0.5112, 0.8816), Cd at (0.0266, 0.5133, 0.7395), In at (0.0000, 0.0000, 0.0000), In at (0.0000, 0.0000, 0.5000) and Sn at (0.0000, 0.0000, 0.3610).

The size of the total moment comes out at 0.00 μB per formula unit. As for the energy of formation: -221 meV per atom. For the total energy, the calculation gives -1.78 eV per atom.

---

No. 3
## Sr3CdIn6Sn2 (PBE-GGA)

Data for a geometry-optimized Sr3CdIn6Sn2 structure.

The space group is P-3m1 (No. 164) and the conventional cell measures 6.2327, 6.2327 and 11.0970 Å, with angles of 90.00, 90.00 and 120.00 degrees. The inequivalent atoms are Sr at (0.0000, 0.0000, 0.0000), Sr at (0.3333, 0.6667, 0.5708), Cd at (0.0000, 0.0000, 0.5000), In at (0.1687, 0.3373, 0.2718) and Sn at (0.3333, 0.6667, 0.0331).

The size of the total moment comes out at 0.00 μB per formula unit. As for the energy of formation: -219 meV per atom. For the total energy, the calculation gives -2.75 eV per atom.